[1]
Entry from the Alexandria database: crystalline Tb4Pm2Er5 at its relaxed geometry (PBE).

Summary:
Volume: 357.7 Å³ per cell
Magnetic moment: 0.000 μB per formula unit
SG: C2/m, No. 12
Formation energy: 160 meV per atom
Energy relative to the lowest polymorph listed for this composition: 99 meV/atom

Lattice parameters (Å, degrees): 6.6342 8.8708 10.1908 40.13 71.00 68.04
Last column: nearest neighbours and their distance in Å.
Fractional coordinates of all 11 atoms:
Tb (0.4124, 0.7699, 0.4052)  2 Tb 3.32-3.34, 6 Er 3.61-3.69
Tb (0.5876, 0.2301, 0.5948)  2 Tb 3.32-3.34, 6 Er 3.61-3.69
Tb (0.7563, 0.6837, 0.8036)  4 Er 3.26-3.48, 1 Tb 3.32, 4 Pm 3.34-3.54
Tb (0.2437, 0.3163, 0.1964)  4 Er 3.26-3.48, 1 Tb 3.32, 4 Pm 3.34-3.54
Pm (0.1988, 0.8974, 0.7051)  5 Tb 3.34-3.73, 2 Er 3.38
Pm (0.8012, 0.1026, 0.2949)  5 Tb 3.34-3.73, 2 Er 3.38
Er (0.1734, 0.2709, 0.9048)  4 Er 3.17-3.47, 2 Tb 3.26-3.48, 1 Pm 3.38
Er (0.8266, 0.7291, 0.0952)  4 Er 3.17-3.47, 2 Tb 3.26-3.48, 1 Pm 3.38
Er (0.0000, 0.5000, 0.5000)  4 Er 3.31
Er (0.6510, 0.2709, 0.9048)  4 Er 3.17-3.47, 2 Tb 3.26-3.48, 1 Pm 3.38
Er (0.3490, 0.7291, 0.0952)  4 Er 3.17-3.47, 2 Tb 3.26-3.48, 1 Pm 3.38



[2]
Entry from the Alexandria database: crystalline TbPm6Er5 at its relaxed geometry (PBE).

Summary:
Volume: 389.6 Å³ per cell
Magnetic moment: 0.000 μB per formula unit
SG: Immm, No. 71
Formation energy: 17 meV per atom

Lattice parameters (Å, degrees): 5.0862 10.0554 9.4755 122.05 105.57 89.99
Last column: nearest neighbours and their distance in Å.
Fractional coordinates of all 12 atoms:
Pm (0.8333, 0.5828, 0.6665)  7 Er 3.57-3.58, 1 Tb 3.58, 4 Pm 3.59
Pm (0.8333, 0.0837, 0.6665)  7 Er 3.57-3.58, 1 Tb 3.58, 4 Pm 3.59
Pm (0.5000, 0.7492, 0.0000)  6 Er 3.57-3.58, 2 Tb 3.58, 4 Pm 3.59
Pm (0.5000, 0.2508, 0.0000)  6 Er 3.57-3.58, 2 Tb 3.58, 4 Pm 3.59
Pm (0.1667, 0.9163, 0.3335)  7 Er 3.57-3.58, 1 Tb 3.58, 4 Pm 3.59
Pm (0.1667, 0.4172, 0.3335)  7 Er 3.57-3.58, 1 Tb 3.58, 4 Pm 3.59
Tb (0.0000, 0.0000, 0.0000)  8 Pm 3.58, 4 Er 3.60
Er (0.6668, 0.1668, 0.3336)  8 Pm 3.57-3.58, 2 Er 3.59, 2 Tb 3.60
Er (0.3332, 0.3332, 0.6664)  8 Pm 3.57, 4 Er 3.59-3.60
Er (0.0000, 0.5000, 0.0000)  8 Pm 3.57, 4 Er 3.60
Er (0.6668, 0.6668, 0.3336)  8 Pm 3.57, 4 Er 3.59-3.60
Er (0.3332, 0.8332, 0.6664)  8 Pm 3.57-3.58, 2 Er 3.59, 2 Tb 3.60



Question: Number 1 is which compound?
Answer: Tb4Pm2Er5



Question: Number 1 is which compound?
Answer: Tb4Pm2Er5